(1)
A relaxed structure of MgCd2In. Source: Alexandria, functional PBEsol.

Geometry as CIF:
```
data_MgCd2In
_cell_length_a 6.0870
_cell_length_b 8.7684
_cell_length_c 3.3078
_cell_angle_alpha 90.00
_cell_angle_beta 90.00
_cell_angle_gamma 90.00
_space_group_name_H-M_alt 'C m m m'
_space_group_IT_number 65
_space_group_name_Hall '-C 2 2'
loop_
_atom_site_label
_atom_site_fract_x
_atom_site_fract_y
_atom_site_fract_z
Mg1 0.0000 0.0000 0.0000
Cd1 0.2500 0.2500 0.5000
In1 0.0000 0.5000 0.0000
```

Calculated values
Its formation energy is -0.049 eV/atom.


(2)
A relaxed structure of Bi9Rh2Br3. Source: Alexandria, functional PBEsol.

Geometry as CIF:
```
data_Bi9Rh2Br3
_cell_length_a 9.2393
_cell_length_b 13.6537
_cell_length_c 19.7024
_cell_angle_alpha 90.00
_cell_angle_beta 101.60
_cell_angle_gamma 90.00
_space_group_name_H-M_alt 'P 1 21/m 1'
_space_group_IT_number 11
loop_
_space_group_symop_operation_xyz
'x,y,z'
'-x,-y,-z'
'-x,y+1/2,-z'
'x,-y+1/2,z'
loop_
_atom_site_label
_atom_site_fract_x
_atom_site_fract_y
_atom_site_fract_z
Bi1 0.0042 0.0335 0.1199
Bi2 0.0165 0.1342 0.6030
Bi3 0.0348 0.7500 0.1149
Bi4 0.1380 0.7500 0.9647
Bi5 0.1541 0.5359 0.7220
Bi6 0.1923 0.7500 0.6362
Bi7 0.1995 0.2500 0.7332
Bi8 0.2197 0.2500 0.0612
Bi9 0.2455 0.5362 0.5499
Bi10 0.2521 0.5349 0.0518
Bi11 0.2780 0.1341 0.9281
Bi12 0.2812 0.2500 0.5538
Bi13 0.2984 0.1343 0.2594
Bi14 0.4274 0.7500 0.7837
Bi15 0.4439 0.5326 0.3903
Bi16 0.4612 0.0344 0.7875
Bi17 0.4726 0.7500 0.3000
Bi18 0.4746 0.2500 0.3926
Rh1 0.0356 0.1007 0.9887
Rh2 0.3130 0.1005 0.6576
Rh3 0.4070 0.6001 0.6797
Br1 0.0713 0.7500 0.7965
Br2 0.1495 0.1055 0.4094
Br3 0.1514 0.6036 0.2617
Br4 0.3332 0.7500 0.4541
Br5 0.3984 0.7500 0.1272
Br6 0.4374 0.6062 0.9267
```

Calculated values
The calculation puts the formation energy without anion corrections at -0.30 eV per atom.


(3)
A relaxed structure of BaSrPrCu3O7. Source: Alexandria, functional PBEsol.

Geometry as CIF:
```
data_BaSrPrCu3O7
_cell_length_a 3.7936
_cell_length_b 3.8825
_cell_length_c 11.5210
_cell_angle_alpha 90.00
_cell_angle_beta 90.00
_cell_angle_gamma 90.00
_space_group_name_H-M_alt 'P m m 2'
_space_group_IT_number 25
loop_
_space_group_symop_operation_xyz
'x,y,z'
'-x,-y,z'
'-x,y,z'
'x,-y,z'
loop_
_atom_site_label
_atom_site_fract_x
_atom_site_fract_y
_atom_site_fract_z
Ba1 0.0000 0.0000 0.0000
Sr1 0.0000 0.0000 0.6420
Pr1 0.0000 0.0000 0.3259
Cu1 0.5000 0.5000 0.1682
Cu2 0.5000 0.5000 0.4826
Cu3 0.5000 0.5000 0.8192
O1 0.0000 0.5000 0.1934
O2 0.0000 0.5000 0.4597
O3 0.5000 0.0000 0.1916
O4 0.5000 0.0000 0.4624
O5 0.5000 0.0000 0.8088
O6 0.5000 0.5000 0.6597
O7 0.5000 0.5000 0.9798
```

Calculated values
The calculation puts the formation energy without anion corrections at -1.82 eV per atom.


(4)
A relaxed structure of Rb2TlInBr6. Source: Alexandria, functional PBEsol.

Geometry as CIF:
```
data_Rb2TlInBr6
_cell_length_a 11.4221
_cell_length_b 11.4221
_cell_length_c 11.4221
_cell_angle_alpha 90.00
_cell_angle_beta 90.00
_cell_angle_gamma 90.00
_space_group_name_H-M_alt 'F m -3 m'
_space_group_IT_number 225
_space_group_name_Hall '-F 4 2 3'
loop_
_atom_site_label
_atom_site_fract_x
_atom_site_fract_y
_atom_site_fract_z
Rb1 0.2500 0.2500 0.2500
Tl1 0.0000 0.0000 0.0000
In1 0.0000 0.0000 0.5000
Br1 0.0000 0.0000 0.2662
```

Calculated values
The calculation puts the formation energy without anion corrections at -1.16 eV per atom.


(5)
A relaxed structure of Mn2CuRh. Source: Alexandria, functional PBEsol.

Geometry as CIF:
```
data_Mn2CuRh
_cell_length_a 3.6305
_cell_length_b 3.6305
_cell_length_c 7.3020
_cell_angle_alpha 90.00
_cell_angle_beta 90.00
_cell_angle_gamma 90.00
_space_group_name_H-M_alt 'I -4 m 2'
_space_group_IT_number 119
_space_group_name_Hall 'I -4 -2'
loop_
_atom_site_label
_atom_site_fract_x
_atom_site_fract_y
_atom_site_fract_z
Mn1 0.0000 0.0000 0.0000
Mn2 0.0000 0.5000 0.2500
Cu1 0.0000 0.5000 0.7500
Rh1 0.0000 0.0000 0.5000
```

Calculated values
Its formation energy is 0.173 eV/atom.


(6)
A relaxed structure of TlCuSb. Source: Alexandria, functional PBEsol.

Geometry as CIF:
```
data_TlCuSb
_cell_length_a 6.6971
_cell_length_b 6.6971
_cell_length_c 6.6971
_cell_angle_alpha 90.00
_cell_angle_beta 90.00
_cell_angle_gamma 90.00
_space_group_name_H-M_alt 'F -4 3 m'
_space_group_IT_number 216
_space_group_name_Hall 'F -4 2 3'
loop_
_atom_site_label
_atom_site_fract_x
_atom_site_fract_y
_atom_site_fract_z
Tl1 0.0000 0.0000 0.0000
Cu1 0.2500 0.2500 0.2500
Sb1 0.2500 0.2500 0.7500
```

Calculated values
As for the energy above the most stable polymorph in this dataset: 395 meV/atom. The calculation puts the formation energy without anion corrections at 0.58 eV per atom.


(7)
A relaxed structure of ScMoAu2. Source: Alexandria, functional PBEsol.

Geometry as CIF:
```
data_ScMoAu2
_cell_length_a 9.4521
_cell_length_b 2.9252
_cell_length_c 5.0276
_cell_angle_alpha 90.00
_cell_angle_beta 101.24
_cell_angle_gamma 90.00
_space_group_name_H-M_alt 'C 1 m 1'
_space_group_IT_number 8
loop_
_space_group_symop_operation_xyz
'x,y,z'
'x,-y,z'
'x+1/2,y+1/2,z'
'x+1/2,-y+1/2,z'
loop_
_atom_site_label
_atom_site_fract_x
_atom_site_fract_y
_atom_site_fract_z
Sc1 0.0000 0.0000 0.0000
Mo1 0.2485 0.5000 0.2949
Au1 0.2472 0.0000 0.7813
Au2 0.4959 0.0000 0.4922
```

Calculated values
As for the energy above the most stable polymorph in this dataset: 60 meV/atom. Its formation energy is -0.128 eV/atom.


(8)
A relaxed structure of BaBr2. Source: Alexandria, functional PBEsol.

Geometry as CIF:
```
data_BaBr2
_cell_length_a 7.2213
_cell_length_b 7.2213
_cell_length_c 8.1332
_cell_angle_alpha 90.00
_cell_angle_beta 90.00
_cell_angle_gamma 90.00
_space_group_name_H-M_alt 'I 4/m c m'
_space_group_IT_number 140
_space_group_name_Hall '-I 4 2c'
loop_
_atom_site_label
_atom_site_fract_x
_atom_site_fract_y
_atom_site_fract_z
Ba1 0.0000 0.0000 0.2500
Br1 0.1925 0.3075 0.0000
```

Calculated values
The calculation puts the formation energy without anion corrections at -2.08 eV per atom.


(9)
A relaxed structure of Ba2MoIr. Source: Alexandria, functional PBEsol.

Geometry as CIF:
```
data_Ba2MoIr
_cell_length_a 3.9251
_cell_length_b 3.9251
_cell_length_c 7.0833
_cell_angle_alpha 90.00
_cell_angle_beta 90.00
_cell_angle_gamma 90.00
_space_group_name_H-M_alt 'P 4/m m m'
_space_group_IT_number 123
_space_group_name_Hall '-P 4 2'
loop_
_atom_site_label
_atom_site_fract_x
_atom_site_fract_y
_atom_site_fract_z
Ba1 0.0000 0.0000 0.2307
Mo1 0.5000 0.5000 0.5000
Ir1 0.5000 0.5000 0.0000
```

Calculated values
As for the energy above the most stable polymorph in this dataset: 700 meV/atom. Its formation energy is 1.117 eV/atom.


(10)
A relaxed structure of LiAs2OsBr. Source: Alexandria, functional PBEsol.

Geometry as CIF:
```
data_LiAs2OsBr
_cell_length_a 4.6552
_cell_length_b 4.6552
_cell_length_c 5.7084
_cell_angle_alpha 90.00
_cell_angle_beta 90.00
_cell_angle_gamma 90.00
_space_group_name_H-M_alt 'P 4/m m m'
_space_group_IT_number 123
_space_group_name_Hall '-P 4 2'
loop_
_atom_site_label
_atom_site_fract_x
_atom_site_fract_y
_atom_site_fract_z
Li1 0.0000 0.0000 0.0000
As1 0.0000 0.5000 0.5000
Os1 0.5000 0.5000 0.5000
Br1 0.5000 0.5000 0.0000
```

Calculated values
The calculation puts the formation energy without anion corrections at 0.23 eV per atom.


(11)
A relaxed structure of YRhN3. Source: Alexandria, functional PBEsol.

Geometry as CIF:
```
data_YRhN3
_cell_length_a 4.2170
_cell_length_b 4.2170
_cell_length_c 4.2170
_cell_angle_alpha 90.00
_cell_angle_beta 90.00
_cell_angle_gamma 90.00
_space_group_name_H-M_alt 'P m -3 m'
_space_group_IT_number 221
_space_group_name_Hall '-P 4 2 3'
loop_
_atom_site_label
_atom_site_fract_x
_atom_site_fract_y
_atom_site_fract_z
Y1 0.0000 0.0000 0.0000
Rh1 0.5000 0.5000 0.5000
N1 0.0000 0.0000 0.5000
```

Calculated values
The calculation puts the formation energy without anion corrections at 1.85 eV per atom.


(12)
A relaxed structure of LiPt2Br. Source: Alexandria, functional PBEsol.

Geometry as CIF:
```
data_LiPt2Br
_cell_length_a 6.3794
_cell_length_b 6.3794
_cell_length_c 6.3794
_cell_angle_alpha 90.00
_cell_angle_beta 90.00
_cell_angle_gamma 90.00
_space_group_name_H-M_alt 'F -4 3 m'
_space_group_IT_number 216
_space_group_name_Hall 'F -4 2 3'
loop_
_atom_site_label
_atom_site_fract_x
_atom_site_fract_y
_atom_site_fract_z
Li1 0.0000 0.0000 0.0000
Pt1 0.0000 0.0000 0.5000
Pt2 0.2500 0.2500 0.2500
Br1 0.2500 0.2500 0.7500
```

Calculated values
As for the energy above the most stable polymorph in this dataset: 359 meV/atom. The calculation puts the formation energy without anion corrections at 0.21 eV per atom.


(13)
A relaxed structure of YRe2Pt. Source: Alexandria, functional PBEsol.

Geometry as CIF:
```
data_YRe2Pt
_cell_length_a 2.7654
_cell_length_b 2.7654
_cell_length_c 8.7317
_cell_angle_alpha 90.00
_cell_angle_beta 90.00
_cell_angle_gamma 90.00
_space_group_name_H-M_alt 'P 4/m m m'
_space_group_IT_number 123
_space_group_name_Hall '-P 4 2'
loop_
_atom_site_label
_atom_site_fract_x
_atom_site_fract_y
_atom_site_fract_z
Y1 0.0000 0.0000 0.0000
Re1 0.5000 0.5000 0.2771
Pt1 0.0000 0.0000 0.5000
```

Calculated values
As for the energy above the most stable polymorph in this dataset: 304 meV/atom. Its formation energy is 0.265 eV/atom.


(14)
A relaxed structure of RbZrAl2Cl. Source: Alexandria, functional PBEsol.

Geometry as CIF:
```
data_RbZrAl2Cl
_cell_length_a 5.6480
_cell_length_b 5.6480
_cell_length_c 5.1637
_cell_angle_alpha 90.00
_cell_angle_beta 90.00
_cell_angle_gamma 90.00
_space_group_name_H-M_alt 'P 4/m m m'
_space_group_IT_number 123
_space_group_name_Hall '-P 4 2'
loop_
_atom_site_label
_atom_site_fract_x
_atom_site_fract_y
_atom_site_fract_z
Rb1 0.0000 0.0000 0.0000
Zr1 0.0000 0.0000 0.5000
Al1 0.0000 0.5000 0.0000
Cl1 0.5000 0.5000 0.5000
```

Calculated values
The calculation puts the formation energy without anion corrections at 1.85 eV per atom.


(15)
A relaxed structure of Na3Mn8O16. Source: Alexandria, functional PBEsol.

Geometry as CIF:
```
data_Na3Mn8O16
_cell_length_a 5.8597
_cell_length_b 11.7250
_cell_length_c 8.2759
_cell_angle_alpha 90.00
_cell_angle_beta 90.00
_cell_angle_gamma 90.00
_space_group_name_H-M_alt 'P m m n'
_space_group_IT_number 59
loop_
_space_group_symop_operation_xyz
'x,y,z'
'-x,-y,-z'
'-x+1/2,-y+1/2,z'
'x+1/2,y+1/2,-z'
'x+1/2,-y,-z'
'-x+1/2,y,z'
'-x,y+1/2,-z'
'x,-y+1/2,z'
loop_
_atom_site_label
_atom_site_fract_x
_atom_site_fract_y
_atom_site_fract_z
Na1 0.2500 0.0007 0.1272
Na2 0.2500 0.7500 0.3790
Mn1 0.0000 0.0000 0.5000
Mn2 0.0021 0.2500 0.0052
Mn3 0.2500 0.1263 0.7451
Mn4 0.2500 0.6274 0.7466
O1 0.0346 0.7500 0.7630
O2 0.0373 0.2500 0.7713
O3 0.0409 0.0012 0.7293
O4 0.2500 0.1086 0.5154
O5 0.2500 0.1444 0.9799
O6 0.2500 0.6037 0.5174
O7 0.2500 0.6447 0.9770
```

Calculated values
The calculation puts the formation energy without anion corrections at -1.67 eV per atom.


(16)
A relaxed structure of Sr2FeN2. Source: Alexandria, functional PBEsol.

Geometry as CIF:
```
data_Sr2FeN2
_cell_length_a 6.4572
_cell_length_b 8.5361
_cell_length_c 8.7567
_cell_angle_alpha 89.97
_cell_angle_beta 70.20
_cell_angle_gamma 77.73
_space_group_name_H-M_alt 'P -1'
_space_group_IT_number 2
loop_
_space_group_symop_operation_xyz
'x,y,z'
'-x,-y,-z'
loop_
_atom_site_label
_atom_site_fract_x
_atom_site_fract_y
_atom_site_fract_z
Sr1 0.1074 0.1491 0.3206
Sr2 0.1453 0.1367 0.8562
Sr3 0.2312 0.4336 0.5632
Sr4 0.3717 0.7002 0.2288
Sr5 0.3802 0.7008 0.8296
Fe1 0.1013 0.4692 0.0916
Fe2 0.4137 0.8930 0.5173
Fe3 0.5000 0.0000 0.0000
N1 0.1981 0.4424 0.8676
N2 0.1996 0.4412 0.2589
N3 0.2374 0.9319 0.0670
N4 0.2933 0.1067 0.5394
N5 0.3216 0.7123 0.5401
```

Calculated values
The calculation puts the formation energy without anion corrections at -0.67 eV per atom.


(17)
A relaxed structure of Cu2GeTe3. Source: Alexandria, functional PBEsol.

Geometry as CIF:
```
data_Cu2GeTe3
_cell_length_a 8.4033
_cell_length_b 25.1771
_cell_length_c 11.8533
_cell_angle_alpha 90.00
_cell_angle_beta 90.00
_cell_angle_gamma 90.00
_space_group_name_H-M_alt 'F d d 2'
_space_group_IT_number 43
_space_group_name_Hall 'F 2 -2d'
loop_
_atom_site_label
_atom_site_fract_x
_atom_site_fract_y
_atom_site_fract_z
Cu1 0.0000 0.0000 0.0000
Cu2 0.0000 0.0000 0.4947
Cu3 0.0085 0.3322 0.5026
Ge1 0.0119 0.1674 0.5007
Te1 0.0028 0.2482 0.1302
Te2 0.0098 0.0835 0.1167
Te3 0.0102 0.4208 0.1285
```

Calculated values
As for the energy above the most stable polymorph in this dataset: 4 meV/atom. The calculation puts the formation energy without anion corrections at -0.05 eV per atom.


(18)
A relaxed structure of LiCdCo. Source: Alexandria, functional PBEsol.

Geometry as CIF:
```
data_LiCdCo
_cell_length_a 5.9554
_cell_length_b 5.9554
_cell_length_c 5.9554
_cell_angle_alpha 90.00
_cell_angle_beta 90.00
_cell_angle_gamma 90.00
_space_group_name_H-M_alt 'F -4 3 m'
_space_group_IT_number 216
_space_group_name_Hall 'F -4 2 3'
loop_
_atom_site_label
_atom_site_fract_x
_atom_site_fract_y
_atom_site_fract_z
Li1 0.0000 0.0000 0.0000
Cd1 0.0000 0.0000 0.5000
Co1 0.2500 0.2500 0.2500
```

Calculated values
Its formation energy is 0.610 eV/atom.


(19)
A relaxed structure of MnNb2PtO. Source: Alexandria, functional PBEsol.

Geometry as CIF:
```
data_MnNb2PtO
_cell_length_a 4.8536
_cell_length_b 4.8536
_cell_length_c 4.6889
_cell_angle_alpha 90.00
_cell_angle_beta 90.00
_cell_angle_gamma 90.00
_space_group_name_H-M_alt 'P 4/m m m'
_space_group_IT_number 123
_space_group_name_Hall '-P 4 2'
loop_
_atom_site_label
_atom_site_fract_x
_atom_site_fract_y
_atom_site_fract_z
Mn1 0.0000 0.0000 0.0000
Nb1 0.0000 0.5000 0.5000
Pt1 0.0000 0.0000 0.5000
O1 0.5000 0.5000 0.0000
```

Calculated values
The calculation puts the formation energy without anion corrections at 1.49 eV per atom.


Computed total energy, in the same sequence as the records: -14.6 -388.1 -82.6 -122.1 -62.6 -39.1 -53.5 -48.5 -21.4 -25.1 -31.3 -67.6 -39.4 -11.0 -422.5 -165.3 -391.6 -36.3 -36.2 eV per cell.